Entry from Alexandria via LeMat-Bulk: crystalline KTl2Br at its relaxed geometry (GGA-PBE).

Cell: 4.792 4.792 6.607 Å, 90.00 90.00 90.00°
Fractional coordinates of all 4 atoms:
K1 0.000 0.000 0.000
Tl1 0.500 0.500 0.269
Tl2 0.500 0.500 0.731
Br1 0.000 0.000 0.500

Computed properties:
For the total DFT energy (no corrections), the calculation gives -2.253 eV per atom. The calculated density comes out at 5.78 g/cm3. The calculation puts the excess energy over the best structure of this formula in the dataset at 5.501 kcal/mol of atoms. The calculation puts the formation energy without anion corrections at -0.38 eV per atom. The magnetization comes out at 0.000 μB per formula unit. As for the volume: 37.919 Å³/atom.

---

Entry from Alexandria via LeMat-Bulk: crystalline HoZrZn6 at its relaxed geometry (GGA-PBE).

Cell: 4.414 6.028 6.028 Å, 60.22 90.00 90.00°
Fractional coordinates of all 8 atoms:
Ho1 0.000 0.000 0.000
Zr1 0.500 0.670 0.670
Zn1 0.000 0.021 0.490
Zn2 0.000 0.490 0.021
Zn3 0.000 0.494 0.494
Zn4 0.500 0.181 0.181
Zn5 0.500 0.184 0.640
Zn6 0.500 0.640 0.184

Computed properties:
For the total DFT energy (no corrections), the calculation gives -2.879 eV per atom. The calculated density comes out at 7.74 g/cm3. The magnetization comes out at 0.000 μB per formula unit. As for the volume: 17.400 Å³/atom.

---

Entry from Alexandria via LeMat-Bulk: crystalline KMg at its relaxed geometry (GGA-PBE).

Cell: 10.458 10.458 5.725 Å, 90.00 90.00 120.00°
Fractional coordinates of all 12 atoms:
K1 0.175 0.350 0.250
K2 0.175 0.825 0.250
K3 0.350 0.175 0.750
K4 0.650 0.825 0.250
K5 0.825 0.175 0.750
K6 0.825 0.650 0.750
Mg1 0.128 0.564 0.750
Mg2 0.436 0.564 0.750
Mg3 0.436 0.872 0.750
Mg4 0.564 0.128 0.250
Mg5 0.564 0.436 0.250
Mg6 0.872 0.436 0.250

Computed properties:
For the total DFT energy (no corrections), the calculation gives -1.145 eV per atom. The calculated density comes out at 1.17 g/cm3. The magnetization comes out at 0.000 μB per formula unit. As for the volume: 45.184 Å³/atom.

---

Entry from Alexandria via LeMat-Bulk: crystalline TaInAu2 at its relaxed geometry (GGA-PBE).

Cell: 5.107 5.107 5.107 Å, 130.48 130.48 72.64°
Fractional coordinates of all 4 atoms:
Ta1 0.000 0.000 0.000
In1 0.500 0.500 0.000
Au1 0.250 0.750 0.500
Au2 0.750 0.250 0.500

Computed properties:
For the total DFT energy (no corrections), the calculation gives -5.155 eV per atom. The calculated density comes out at 15.21 g/cm3. The magnetization comes out at 0.000 μB per formula unit. As for the volume: 18.823 Å³/atom.

---

Entry from Alexandria via LeMat-Bulk: crystalline TbTm2Ti at its relaxed geometry (GGA-PBE).

Cell: 3.352 3.352 9.558 Å, 90.00 90.00 90.00°
Fractional coordinates of all 4 atoms:
Tb1 0.000 0.000 0.000
Tm1 0.500 0.500 0.282
Tm2 0.500 0.500 0.718
Ti1 0.000 0.000 0.500

Computed properties:
For the total DFT energy (no corrections), the calculation gives -5.219 eV per atom. The calculated density comes out at 8.42 g/cm3. The calculation puts the excess energy over the best structure of this formula in the dataset at 0.000 kcal/mol of atoms. The magnetization comes out at 0.000 μB per formula unit. As for the volume: 26.849 Å³/atom.

---

Entry from Alexandria via LeMat-Bulk: crystalline CeMgSb at its relaxed geometry (GGA-PBE).

Cell: 4.766 4.766 4.101 Å, 90.00 90.00 120.00°
Fractional coordinates of all 3 atoms:
Ce1 0.000 0.000 0.000
Mg1 0.333 0.667 0.499
Sb1 0.667 0.333 0.501

Computed properties:
For the total DFT energy (no corrections), the calculation gives -4.407 eV per atom. The calculated density comes out at 5.89 g/cm3. The calculation puts the excess energy over the best structure of this formula in the dataset at 0.000 kcal/mol of atoms. The calculation puts the formation energy without anion corrections at -0.52 eV per atom. The magnetization comes out at 1.027 μB per formula unit. As for the volume: 26.895 Å³/atom.

---

Q: Look up the total DFT energy (no corrections) of the second one.
A: -2.879 eV per atom

---

Q: Among the records above, which one has the lowest calculated density?
A: KMg

---

Q: What is the calculated density in the second record?
A: 7.74 g/cm3